## KZr2W (PBE)

Data for an optimized crystal structure of KZr2W.

DOS(E_F) (states/eV per atom): 1.385
E (eV per atom): -6.487
E_form (meV per atom): 1299.5
ΔE to the lowest computed polymorph (meV per atom): 931

Cell and atoms, written as POSCAR:
```
KZr2W
1.0
-2.1303 2.1303 4.9410
2.1303 -2.1303 4.9410
2.1303 2.1303 -4.9410
K Zr W
1 2 1
Cartesian
0.0000 0.0000 0.0000 K
0.0000 0.0000 4.9410 Zr
0.0000 2.1303 2.4705 Zr
2.1303 0.0000 2.4705 W
```